No. 1
Below is crystalline BHSe at its relaxed geometry, with properties calculated at the PBE level.

The total energy comes out at -4.5937 eV per atom. The mass density comes out at 2.7 g/cm³. The total moment comes out at 0.00 Bohr magnetons per cell.

It has space group C2/m (No. 12), with a = 12.4246 Å, b = 3.2739 Å, c = 5.5924 Å, α = 90.00°, β = 103.79° and γ = 90.00°. The asymmetric unit holds B at (0.1623, 0.0000, 0.3951), H at (0.0897, 0.0000, 0.2108) and Se at (0.1694, 0.5000, 0.6308).


No. 2
Below is crystalline B2HSe at its relaxed geometry, with properties calculated at the PBE level.

The total energy comes out at -4.1610 eV per atom. The mass density comes out at 4.6 g/cm³. The total moment comes out at 0.00 Bohr magnetons per cell.

It has space group I-42d (No. 122), with a = 3.4442 Å, b = 3.4442 Å, c = 12.2698 Å, α = 90.00°, β = 90.00° and γ = 90.00°. The asymmetric unit holds B at (0.0952, 0.2500, 0.1250), H at (0.0000, 0.0000, 0.0000) and Se at (0.0000, 0.0000, 0.5000).


No. 3
Below is crystalline SiBHSe2 at its relaxed geometry, with properties calculated at the PBE level.

The total energy comes out at -3.3919 eV per atom. The mass density comes out at 3.9 g/cm³. The total moment comes out at 0.58 Bohr magnetons per cell.

It has space group P4/mmm (No. 123), with a = 4.5974 Å, b = 4.5974 Å, c = 3.9660 Å, α = 90.00°, β = 90.00° and γ = 90.00°. The asymmetric unit holds Si at (0.0000, 0.0000, 0.0000), B at (0.0000, 0.0000, 0.5000), H at (0.5000, 0.5000, 0.0000) and Se at (0.0000, 0.5000, 0.5000).


No. 4
Below is crystalline TiBHSe2 at its relaxed geometry, with properties calculated at the PBE level.

The total energy comes out at -4.4876 eV per atom. The mass density comes out at 5.3 g/cm³. The total moment comes out at 0.00 Bohr magnetons per cell.

It has space group P4/mmm (No. 123), with a = 4.8756 Å, b = 4.8756 Å, c = 2.8609 Å, α = 90.00°, β = 90.00° and γ = 90.00°. The asymmetric unit holds Ti at (0.0000, 0.0000, 0.0000), B at (0.5000, 0.5000, 0.0000), H at (0.5000, 0.5000, 0.5000) and Se at (0.0000, 0.5000, 0.5000).


No. 5
Below is crystalline Tl2BH2Se2 at its relaxed geometry, with properties calculated at the PBE level.

The total energy comes out at -3.3769 eV per atom. The mass density comes out at 6.2 g/cm³. The total moment comes out at 0.00 Bohr magnetons per cell.

It has space group P-1 (No. 2), with a = 4.0470 Å, b = 6.6542 Å, c = 6.7996 Å, α = 114.39°, β = 105.23° and γ = 98.23°. The asymmetric unit holds Tl at (0.1614, 0.2309, 0.4748), B at (0.0000, 0.5000, 0.0000), H at (0.3322, 0.6837, 0.5207) and Se at (0.2512, 0.7656, 0.0273).


No. 6
Below is crystalline SiBH at its relaxed geometry, with properties calculated at the PBE level.

The total energy comes out at -5.0091 eV per atom. The mass density comes out at 2.2 g/cm³. The total moment comes out at 0.00 Bohr magnetons per cell.

It has space group P-1 (No. 2), with a = 3.4571 Å, b = 4.0718 Å, c = 4.9492 Å, α = 111.64°, β = 106.89° and γ = 90.45°. The asymmetric unit holds Si at (0.0010, 0.3115, 0.1402), B at (0.3748, 0.4595, 0.6129) and H at (0.3219, 0.1564, 0.5920).


No. 7
Below is crystalline SiBH at its relaxed geometry, with properties calculated at the PBE level.

The total energy comes out at -4.9342 eV per atom. The mass density comes out at 2.1 g/cm³. The total moment comes out at 0.00 Bohr magnetons per cell.

It has space group Amm2 (No. 38), with a = 2.9971 Å, b = 9.4958 Å, c = 4.4057 Å, α = 90.00°, β = 90.00° and γ = 90.00°. The asymmetric unit holds Si at (0.0000, 0.1977, 0.0000), B at (0.0000, 0.0000, 0.8458), B at (0.5000, 0.0000, 0.0302), H at (0.0000, 0.0000, 0.5747) and H at (0.5000, 0.0000, 0.3034).


No. 8
Below is crystalline SiBH at its relaxed geometry, with properties calculated at the PBE level.

The total energy comes out at -4.9689 eV per atom. The mass density comes out at 2.3 g/cm³. The total moment comes out at 0.00 Bohr magnetons per cell.

It has space group C2/m (No. 12), with a = 7.2414 Å, b = 3.5892 Å, c = 5.7248 Å, α = 90.00°, β = 128.91° and γ = 90.00°. The asymmetric unit holds Si at (0.2019, 0.0000, 0.1056), B at (0.1402, 0.0000, 0.6722) and H at (0.1977, 0.5000, 0.3427).